{
  "formula": "Pm5ThS7",
  "functional": "PBE",
  "state": "relaxed",
  "dft_energy_ev_per_cell": -172.3,
  "m_tot_mub_per_cell": 0.000,
  "volume_a3_per_cell": 622.6,
  "formation_energy_uncorrected_ev_per_atom": -2.01,
  "lattice": [[3.9636, 0.0000, 0.0000], [-1.9818, 6.6815, -0.0940], [0.0000, -0.3881, 23.5142]],
  "species": ["Pm", "Pm", "Pm", "Pm", "Pm", "Pm", "Pm", "Pm", "Pm", "Pm", "Th", "Th", "S", "S", "S", "S", "S", "S", "S", "S", "S", "S", "S", "S", "S", "S"],
  "fractional_positions": [[0.0014, 0.0028, 0.9999], [0.7203, 0.4406, 0.9288], [0.2822, 0.5643, 0.0713], [0.5430, 0.0859, 0.3542], [0.4562, 0.9125, 0.6457], [0.9992, 0.9984, 0.4999], [0.2717, 0.5434, 0.4298], [0.7270, 0.4540, 0.5702], [0.4487, 0.8974, 0.8532], [0.5533, 0.1066, 0.1469], [0.7907, 0.5815, 0.2612], [0.2099, 0.4198, 0.7398], [0.4394, 0.8788, 0.2485], [0.5611, 0.1221, 0.7512], [0.6388, 0.2776, 0.0390], [0.3637, 0.7273, 0.9611], [0.3652, 0.7304, 0.5377], [0.6335, 0.2670, 0.4623], [0.1976, 0.3953, 0.1830], [0.8043, 0.6086, 0.8171], [0.8205, 0.6410, 0.6802], [0.1784, 0.3567, 0.3197], [0.9157, 0.8313, 0.1122], [0.0871, 0.1741, 0.8873], [0.0999, 0.1999, 0.6171], [0.8988, 0.7976, 0.3826]]
}